K2Rb7Na: optimized geometry, PBE.

Lattice parameters (Å, degrees): 7.5421 7.5421 17.3834 90.00 90.00 120.00
Space group P3m1 (No. 156)
Asymmetric unit:
K  0.0000  0.0000  0.0000 (multiplicity 1)
K  0.3333  0.6667  0.5865 (multiplicity 1)
Rb  0.0000  0.0000  0.2714 (multiplicity 1)
Rb  0.0000  0.0000  0.6909 (multiplicity 1)
Rb  0.3333  0.6667  0.0956 (multiplicity 1)
Rb  0.3333  0.6667  0.3422 (multiplicity 1)
Rb  0.3333  0.6667  0.8324 (multiplicity 1)
Rb  0.6667  0.3333  0.4773 (multiplicity 1)
Rb  0.6667  0.3333  0.9186 (multiplicity 1)
Na  0.6667  0.3333  0.1901 (multiplicity 1)

Calculated values
Density of states at the Fermi level, states/eV/f.u.: 8.713
Total moment, μB/atom: 0.000
Formation energy, kcal/mol of atoms: 1.463
E above lowest polymorph, eV/f.u.: 0.41



AcPmDyCd: optimized geometry, PBE.

Lattice parameters (Å, degrees): 3.8066 3.8066 8.9978 90.00 90.00 90.00
Space group P4mm (No. 99)
Asymmetric unit:
Ac  0.0000  0.0000  0.0000 (multiplicity 1)
Pm  0.5000  0.5000  0.7047 (multiplicity 1)
Dy  0.5000  0.5000  0.2874 (multiplicity 1)
Cd  0.0000  0.0000  0.4860 (multiplicity 1)

Calculated values
Density of states at the Fermi level, states/eV/f.u.: 5.608
Total moment, μB/atom: 0.001
Formation energy, kcal/mol of atoms: -2.988
E above lowest polymorph, eV/f.u.: 0.00



LiBrCl3: optimized geometry, PBE.

Lattice parameters (Å, degrees): 5.3151 5.3151 5.3151 90.00 90.00 90.00
Space group Pm-3m (No. 221)
Asymmetric unit:
Li  0.0000  0.0000  0.0000 (multiplicity 1)
Br  0.5000  0.5000  0.5000 (multiplicity 1)
Cl  0.0000  0.5000  0.5000 (multiplicity 3)

Calculated values
Density of states at the Fermi level, states/eV/f.u.: 1.165
Total moment, μB/atom: 0.000
Formation energy from raw total energies, eV per atom: -0.28
E above lowest polymorph, eV/f.u.: 1.71



K2AlHg: optimized geometry, PBE.

Lattice parameters (Å, degrees): 9.6396 9.6396 6.3282 90.00 90.00 90.00
Space group I-42d (No. 122)
Asymmetric unit:
K  0.2306  0.7500  0.1250 (multiplicity 8)
Al  0.0000  0.0000  0.5000 (multiplicity 4)
Hg  0.0000  0.0000  0.0000 (multiplicity 4)

Calculated values
Density of states at the Fermi level, states/eV/f.u.: 3.606
Total moment, μB/atom: 0.000
Formation energy, kcal/mol of atoms: 5.885
E above lowest polymorph, eV/f.u.: 0.99



Os3Pb: optimized geometry, PBE.

Lattice parameters (Å, degrees): 2.8782 2.8782 9.6809 90.00 90.00 120.00
Space group P-6m2 (No. 187)
Asymmetric unit:
Os  0.0000  0.0000  0.0000 (multiplicity 1)
Os  0.3333  0.6667  0.2112 (multiplicity 2)
Pb  0.0000  0.0000  0.5000 (multiplicity 1)

Calculated values
Density of states at the Fermi level, states/eV/f.u.: 3.421
Total moment, μB/atom: 0.000
Formation energy, kcal/mol of atoms: 17.029



SnC3Se: optimized geometry, PBE.

Lattice parameters (Å, degrees): 4.0077 4.0077 4.0077 90.00 90.00 90.00
Space group Pm-3m (No. 221)
Asymmetric unit:
Sn  0.0000  0.0000  0.0000 (multiplicity 1)
C  0.0000  0.5000  0.5000 (multiplicity 3)
Se  0.5000  0.5000  0.5000 (multiplicity 1)

Calculated values
Density of states at the Fermi level, states/eV/f.u.: 3.898
Total moment, μB/atom: 0.000
Formation energy from raw total energies, eV per atom: 2.64
E above lowest polymorph, eV/f.u.: 0.00



ZnRu2Se: optimized geometry, PBE.

Lattice parameters (Å, degrees): 6.9211 6.9211 5.5077 90.00 90.00 90.00
Space group I-42d (No. 122)
Asymmetric unit:
Zn  0.0000  0.0000  0.0000 (multiplicity 4)
Ru  0.2000  0.2500  0.6250 (multiplicity 8)
Se  0.0000  0.0000  0.5000 (multiplicity 4)

Calculated values
Density of states at the Fermi level, states/eV/f.u.: 1.103
Total moment, μB/atom: 0.000
Formation energy from raw total energies, eV per atom: 0.49
E above lowest polymorph, eV/f.u.: 1.58



NaH3Cl: optimized geometry, PBE.

Lattice parameters (Å, degrees): 3.9811 3.9811 3.9811 90.00 90.00 90.00
Space group Pm-3m (No. 221)
Asymmetric unit:
Na  0.0000  0.0000  0.0000 (multiplicity 1)
H  0.0000  0.5000  0.5000 (multiplicity 3)
Cl  0.5000  0.5000  0.5000 (multiplicity 1)

Calculated values
Density of states at the Fermi level, states/eV/f.u.: 0.854
Total moment, μB/atom: 0.000
E above lowest polymorph, eV/f.u.: 0.00



KTe3Au: optimized geometry, PBE.

Lattice parameters (Å, degrees): 5.9824 5.9824 5.9824 90.00 90.00 90.00
Space group Pm-3m (No. 221)
Asymmetric unit:
K  0.0000  0.0000  0.0000 (multiplicity 1)
Te  0.0000  0.0000  0.5000 (multiplicity 3)
Au  0.5000  0.5000  0.5000 (multiplicity 1)

Calculated values
Density of states at the Fermi level, states/eV/f.u.: 5.260
Total moment, μB/atom: 0.000
Formation energy from raw total energies, eV per atom: 1.12



Cs2BeHg2: optimized geometry, PBE.

Lattice parameters (Å, degrees): 7.4194 7.4194 6.4910 90.00 90.00 90.00
Space group P4/mbm (No. 127)
Asymmetric unit:
Cs  0.1711  0.3289  0.0000 (multiplicity 4)
Be  0.0000  0.0000  0.5000 (multiplicity 2)
Hg  0.1932  0.6932  0.5000 (multiplicity 4)

Calculated values
Density of states at the Fermi level, states/eV/f.u.: 0.912
Total moment, μB/atom: 0.000
Formation energy, kcal/mol of atoms: 6.666



HfSF2: optimized geometry, PBE.

Lattice parameters (Å, degrees): 5.8395 5.8395 5.8395 90.00 90.00 90.00
Space group Fm-3m (No. 225)
Asymmetric unit:
Hf  0.0000  0.0000  0.0000 (multiplicity 4)
S  0.0000  0.0000  0.5000 (multiplicity 4)
F  0.2500  0.2500  0.2500 (multiplicity 8)

Calculated values
Density of states at the Fermi level, states/eV/f.u.: 0.000
Total moment, μB/atom: 0.000
Formation energy from raw total energies, eV per atom: -1.74
E above lowest polymorph, eV/f.u.: 1.93



AcPuSbI: optimized geometry, PBE.

Lattice parameters (Å, degrees): 7.9880 7.9880 7.9880 90.00 90.00 90.00
Space group F-43m (No. 216)
Asymmetric unit:
Ac  0.0000  0.0000  0.0000 (multiplicity 4)
Pu  0.0000  0.0000  0.5000 (multiplicity 4)
Sb  0.2500  0.2500  0.2500 (multiplicity 4)
I  0.2500  0.2500  0.7500 (multiplicity 4)

Calculated values
Density of states at the Fermi level, states/eV/f.u.: 9.223
Total moment, μB/atom: 1.717
Formation energy from raw total energies, eV per atom: -0.80



CrSn2Au: optimized geometry, PBE.

Lattice parameters (Å, degrees): 7.7901 7.7901 6.0240 90.00 90.00 90.00
Space group I-42d (No. 122)
Asymmetric unit:
Cr  0.0000  0.0000  0.0000 (multiplicity 4)
Sn  0.2397  0.2500  0.6250 (multiplicity 8)
Au  0.0000  0.0000  0.5000 (multiplicity 4)

Calculated values
Density of states at the Fermi level, states/eV/f.u.: 2.394
Total moment, μB/atom: 0.978
Formation energy, kcal/mol of atoms: 6.820
E above lowest polymorph, eV/f.u.: 0.00



PaAlCrGe2: optimized geometry, PBE.

Lattice parameters (Å, degrees): 5.5186 5.6589 5.6742 90.00 90.00 90.00
Space group Pmma (No. 51)
Asymmetric unit:
Pa  0.2500  0.0000  0.2201 (multiplicity 2)
Al  0.2500  0.5000  0.3661 (multiplicity 2)
Cr  0.0000  0.5000  0.0000 (multiplicity 2)
Ge  0.2500  0.2345  0.7325 (multiplicity 4)

Calculated values
Density of states at the Fermi level, states/eV/f.u.: 4.585
Total moment, μB/atom: 0.010
Formation energy, kcal/mol of atoms: -5.104



Pr2CdGe3Pt4: optimized geometry, PBE.

Lattice parameters (Å, degrees): 4.3845 4.3845 10.5302 90.00 90.00 90.00
Space group P-4m2 (No. 115)
Asymmetric unit:
Pr  0.0000  0.5000  0.2453 (multiplicity 2)
Cd  0.0000  0.0000  0.5000 (multiplicity 1)
Ge  0.0000  0.5000  0.8761 (multiplicity 2)
Ge  0.5000  0.5000  0.5000 (multiplicity 1)
Pt  0.0000  0.0000  0.0000 (multiplicity 1)
Pt  0.0000  0.5000  0.6456 (multiplicity 2)
Pt  0.5000  0.5000  0.0000 (multiplicity 1)

Calculated values
Density of states at the Fermi level, states/eV/f.u.: 5.021
Total moment, μB/atom: 0.000
Formation energy, kcal/mol of atoms: -19.422



LiPbSe2: optimized geometry, PBE.

Lattice parameters (Å, degrees): 3.9217 3.8921 6.2806 90.00 103.33 90.00
Space group P2/m (No. 10)
Asymmetric unit:
Li  0.0000  0.0000  0.0000 (multiplicity 1)
Pb  0.0000  0.0000  0.5000 (multiplicity 1)
Se  0.4429  0.5000  0.2231 (multiplicity 2)

Calculated values
Density of states at the Fermi level, states/eV/f.u.: 0.682
Total moment, μB/atom: 0.000
Formation energy from raw total energies, eV per atom: -0.50



Zn2IrBr: optimized geometry, PBE.

Lattice parameters (Å, degrees): 2.9308 5.3551 8.9277 90.00 90.00 90.00
Space group Cmm2 (No. 35)
Asymmetric unit:
Zn  0.0000  0.0000  0.0000 (multiplicity 2)
Zn  0.0000  0.5000  0.2412 (multiplicity 2)
Ir  0.0000  0.5000  0.7692 (multiplicity 2)
Br  0.0000  0.0000  0.5162 (multiplicity 2)

Calculated values
Density of states at the Fermi level, states/eV/f.u.: 2.533
Total moment, μB/atom: 0.000
Formation energy from raw total energies, eV per atom: 0.44
E above lowest polymorph, eV/f.u.: 2.07



Pm2Er8Th3: optimized geometry, PBE.

Lattice parameters (Å, degrees): 14.7963 9.2217 6.5895 90.00 99.80 90.00
Space group C2/m (No. 12)
Asymmetric unit:
Pm  0.2174  0.0000  0.3031 (multiplicity 4)
Er  0.0798  0.5000  0.3665 (multiplicity 4)
Er  0.1123  0.3211  0.9375 (multiplicity 8)
Er  0.1967  0.0000  0.7918 (multiplicity 4)
Th  0.0000  0.0000  0.0000 (multiplicity 2)
Th  0.0000  0.1698  0.5000 (multiplicity 4)

Calculated values
Density of states at the Fermi level, states/eV/f.u.: 21.872
Total moment, μB/atom: 0.000
Formation energy, kcal/mol of atoms: 6.192
E above lowest polymorph, eV/f.u.: 0.00



Tb5CeSmTm2: optimized geometry, PBE.

Lattice parameters (Å, degrees): 5.6922 21.4328 9.5838 90.00 90.00 90.00
Space group Cmc2_1 (No. 36)
Asymmetric unit:
Tb  0.0000  0.0132  0.0000 (multiplicity 4)
Tb  0.0000  0.2674  0.3171 (multiplicity 4)
Tb  0.0000  0.3050  0.6993 (multiplicity 4)
Tb  0.0000  0.3934  0.0275 (multiplicity 4)
Tb  0.0000  0.4707  0.7328 (multiplicity 4)
Ce  0.0000  0.1925  0.0092 (multiplicity 4)
Sm  0.0000  0.4032  0.4104 (multiplicity 4)
Tm  0.0000  0.1136  0.3096 (multiplicity 4)
Tm  0.0000  0.1338  0.6936 (multiplicity 4)

Calculated values
Density of states at the Fermi level, states/eV/f.u.: 15.719
Total moment, μB/atom: 0.082
Formation energy, kcal/mol of atoms: 4.012



Lu3Sn: optimized geometry, PBE.

Lattice parameters (Å, degrees): 3.4461 5.3611 5.8611 90.00 90.00 90.00
Space group Pmm2 (No. 25)
Asymmetric unit:
Lu  0.0000  0.0000  0.0000 (multiplicity 1)
Lu  0.0000  0.5000  0.3446 (multiplicity 1)
Lu  0.5000  0.0000  0.5087 (multiplicity 1)
Sn  0.5000  0.5000  0.8318 (multiplicity 1)

Calculated values
Density of states at the Fermi level, states/eV/f.u.: 3.771
Total moment, μB/atom: 0.000
Formation energy, kcal/mol of atoms: -6.477